1.
Density functional theory data (PBE) for a relaxed Zr3Os2Rh crystal.

Computed properties:
- Formation enthalpy at 0 K: -0.60 eV/atom
- Total moment: 0.0 μB per cell
- Calculated total energy: -0.7234 Ry per atom

Unit cell a=3.2864 b=3.2864 c=9.8957 alpha=90.00 beta=90.00 gamma=90.00
Space group P4/mmm (No. 123)
Asymmetric unit:
1 Zr 0.0000 0.0000 0.0000 [1 per cell]
2 Zr 0.0000 0.0000 0.3326 [2 per cell]
3 Os 0.5000 0.5000 0.1679 [2 per cell]
4 Rh 0.5000 0.5000 0.5000 [1 per cell]



2.
Density functional theory data (PBE) for a relaxed Zr4Os3Rh crystal.

Computed properties:
- Formation enthalpy at 0 K: -0.57 eV/atom
- Total moment: 0.0 μB per cell
- Calculated total energy: -0.7331 Ry per atom

Unit cell a=3.2824 b=4.6640 c=9.3143 alpha=90.00 beta=90.00 gamma=90.00
Space group Pmmm (No. 47)
Asymmetric unit:
1 Zr 0.0000 0.0000 0.0000 [1 per cell]
2 Zr 0.0000 0.0000 0.5000 [1 per cell]
3 Zr 0.0000 0.5000 0.2484 [2 per cell]
4 Os 0.5000 0.0000 0.2507 [2 per cell]
5 Os 0.5000 0.5000 0.0000 [1 per cell]
6 Rh 0.5000 0.5000 0.5000 [1 per cell]



3.
Density functional theory data (PBE) for a relaxed ZrOsRh2 crystal.

Computed properties:
- Formation enthalpy at 0 K: -0.28 eV/atom
- Total moment: 0.0 μB per cell
- Relative energy among the computed polymorphs: 51 kJ/mol of formula units
- Calculated total energy: -0.6544 Ry per atom

Unit cell a=3.9929 b=3.9929 c=7.9370 alpha=90.00 beta=90.00 gamma=90.00
Space group I-4m2 (No. 119)
Asymmetric unit:
1 Zr 0.0000 0.0000 0.0000 [2 per cell]
2 Os 0.0000 0.5000 0.7500 [2 per cell]
3 Rh 0.0000 0.0000 0.5000 [2 per cell]
4 Rh 0.0000 0.5000 0.2500 [2 per cell]



4.
Density functional theory data (PBE) for a relaxed ZrOsRh crystal.

Computed properties:
- Formation enthalpy at 0 K: -0.03 eV/atom
- Total moment: 0.0 μB per cell
- Relative energy among the computed polymorphs: 33 kJ/mol of formula units
- Calculated total energy: -0.6665 Ry per atom

Unit cell a=4.5382 b=4.5382 c=2.7925 alpha=90.00 beta=90.00 gamma=120.00
Space group P3m1 (No. 156)
Asymmetric unit:
1 Zr 0.0000 0.0000 0.0000 [1 per cell]
2 Os 0.6667 0.3333 0.4977 [1 per cell]
3 Rh 0.3333 0.6667 0.9975 [1 per cell]



The lowest formation enthalpy at 0 K belongs to which entry?
Zr3Os2Rh